# PBE-GGA V3CuH, relaxed
data_V3CuH
_chemical_formula_sum 'V3 Cu1 H1'
_space_group_name_H-M_alt 'P m -3 m'
_space_group_IT_number 221
_space_group_name_Hall '-P 4 2 3'
_cell_length_a 3.798
_cell_length_b 3.798
_cell_length_c 3.798
_cell_angle_alpha 90.00
_cell_angle_beta 90.00
_cell_angle_gamma 90.00
loop_
_atom_site_label
_atom_site_fract_x
_atom_site_fract_y
_atom_site_fract_z
V1 0.000 0.000 0.500
Cu1 0.500 0.500 0.500
H1 0.000 0.000 0.000
# - Total moment: 1.4 μB/cell
# - Total energy: -6.949 eV/atom
# - Energy above the lowest structure with this stoichiometry: 0.0 meV per atom